(1)
DFT (PBE) results for a geometry-optimized KNpTcN3 structure.

Cell: 3.8402 6.8465 7.6143 Å, 102.44 90.00 106.29°
Positions (direct):
1 N 0.4931 0.9862 0.6808
2 Tc 0.0058 0.0117 0.3372
3 Np 0.3434 0.6868 0.4187
4 Np 0.6566 0.3132 0.5813
5 K 0.3606 0.7212 0.9383
6 N 0.8287 0.6574 0.6040
7 N 0.1536 0.3071 0.7508
8 N 0.1713 0.3426 0.3960
9 N 0.8464 0.6929 0.2492
10 N 0.5069 0.0138 0.3192
11 Tc 0.9942 0.9883 0.6628
12 K 0.6394 0.2788 0.0617

Computed properties:
- E: -8.76 eV per atom
- Calculated density: 7380 kg/m³


(2)
DFT (PBE) results for a geometry-optimized TlIn2Cu structure.

Cell: 5.6456 5.6456 3.6217 Å, 78.33 78.33 113.35°
Positions (direct):
1 In 0.0000 0.0000 0.0000
2 In 0.5000 0.5000 0.0000
3 Tl 0.5000 0.0000 0.5000
4 Cu 0.0000 0.5000 0.5000

Computed properties:
- E: -2.72 eV per atom
- Calculated density: 8384 kg/m³


(3)
DFT (PBE) results for a geometry-optimized TaIr3Rh structure.

Cell: 4.6362 4.6362 4.6362 Å, 90.00 90.00 90.00°
Positions (direct):
1 Ir 0.5000 0.0000 0.0000
2 Ta 0.5000 0.5000 0.5000
3 Rh 0.0000 0.0000 0.0000
4 Ir 0.0000 0.0000 0.5000
5 Ir 0.0000 0.5000 0.0000

Computed properties:
- E: -7.26 eV per atom
- Calculated density: 14339 kg/m³


(4)
DFT (PBE) results for a geometry-optimized Ba4Sr4Li structure.

Cell: 4.7341 10.5598 10.5598 Å, 87.12 77.05 77.05°
Positions (direct):
1 Sr 0.4953 0.1642 0.3452
2 Sr 0.5047 0.8358 0.6548
3 Ba 0.8464 0.8115 0.9958
4 Ba 0.8421 0.5042 0.3115
5 Ba 0.1579 0.4958 0.6885
6 Ba 0.1536 0.1885 0.0042
7 Sr 0.1595 0.8452 0.3358
8 Sr 0.8405 0.1548 0.6642
9 Li 0.5000 0.5000 0.0000

Computed properties:
- E: -1.78 eV per atom
- Calculated density: 3003 kg/m³


(5)
DFT (PBE) results for a geometry-optimized LiSmSb structure.

Cell: 4.6526 4.3599 8.4776 Å, 75.10 90.00 90.00°
Positions (direct):
1 Sb 0.2500 0.1490 0.7019
2 Sb 0.7500 0.8510 0.2981
3 Li 0.5000 0.0000 0.0000
4 Li 0.0000 0.0000 0.0000
5 Sm 0.7500 0.6623 0.6754
6 Sm 0.2500 0.3377 0.3246

Computed properties:
- E: -4.20 eV per atom
- Calculated density: 5577 kg/m³


(6)
DFT (PBE) results for a geometry-optimized TiH2Au structure.

Cell: 4.2214 4.2214 5.6015 Å, 67.86 67.86 90.00°
Positions (direct):
1 Au 0.0000 0.0000 0.0000
2 H 0.1825 0.6250 0.2500
3 Ti 0.5000 0.5000 0.0000
4 Au 0.7500 0.2500 0.5000
5 H 0.8750 0.8175 0.7500
6 H 0.5675 0.1250 0.2500
7 Ti 0.2500 0.7500 0.5000
8 H 0.3750 0.4325 0.7500

Computed properties:
- E: -4.51 eV per atom
- Calculated density: 9706 kg/m³


(7)
DFT (PBE) results for a geometry-optimized GeSbTe2Ru structure.

Cell: 5.3060 5.3060 5.2746 Å, 90.00 90.00 90.00°
Positions (direct):
1 Te 0.5000 0.0000 0.0000
2 Ru 0.5000 0.5000 0.5000
3 Te 0.0000 0.5000 0.0000
4 Sb 0.0000 0.0000 0.5000
5 Ge 0.0000 0.0000 0.0000

Computed properties:
- E: -3.62 eV per atom
- Calculated density: 6158 kg/m³


(8)
DFT (PBE) results for a geometry-optimized Ho4NiSn8 structure.

Cell: 4.3928 4.4138 16.7685 Å, 90.00 90.00 90.00°
Positions (direct):
1 Ho 0.5000 0.5000 0.3960
2 Ho 0.0000 0.5000 0.6050
3 Sn 0.5000 0.0000 0.5761
4 Sn 0.5000 0.5000 0.0553
5 Sn 0.5000 0.5000 0.7545
6 Sn 0.5000 0.0000 0.2356
7 Ho 0.0000 0.0000 0.0959
8 Ho 0.5000 0.0000 0.8997
9 Sn 0.0000 0.0000 0.7510
10 Sn 0.0000 0.5000 0.2365
11 Ni 0.0000 0.0000 0.3113
12 Sn 0.0000 0.5000 0.9319
13 Sn 0.0000 0.0000 0.4582

Computed properties:
- E: -4.87 eV per atom
- Calculated density: 8520 kg/m³